The following is a PBE calculation of a relaxed structure of Li8CdGe2, from Alexandria via LeMat-Bulk.

Results
Space group ... Immm (71)
E_form ... -253 meV per atom
Fermi-level density of states ... 3.00 states/eV per cell
Total moment ... 0.000 μB per cell

a = 7.7471 Å, b = 7.7471 Å, c = 7.7471 Å
α = 146.22°, β = 132.43°, γ = 59.61°
Closest atoms and distances in Å follow each position.
Fractional positions:
Li1 0.1084 0.3335 0.7749  4 Li 2.62-2.83, 3 Ge 2.66-2.69, 1 Cd 2.82
Li2 0.1695 0.1695 0.0000  8 Li 2.62-2.93
Li3 0.2941 0.0000 0.2941  1 Li 2.57, 2 Ge 2.74
Li4 0.4414 0.6665 0.7749  4 Li 2.62-2.83, 3 Ge 2.66-2.69, 1 Cd 2.82
Li5 0.5586 0.3335 0.2251  4 Li 2.62-2.83, 3 Ge 2.66-2.69, 1 Cd 2.82
Li6 0.7059 0.0000 0.7059  1 Li 2.57, 2 Ge 2.74
Li7 0.8305 0.8305 0.0000  8 Li 2.62-2.93
Li8 0.8916 0.6665 0.2251  4 Li 2.62-2.83, 3 Ge 2.66-2.69, 1 Cd 2.82
Cd1 0.0000 0.5000 0.5000  8 Li 2.82-2.91
Ge1 0.3204 0.8204 0.5000  8 Li 2.66-2.74
Ge2 0.6796 0.1796 0.5000  8 Li 2.66-2.74